Record 1
LiCuSb2 | Alexandria | PBE-GGA | relaxed; ΔE_f (raw) = -0.056 eV per atom; space group = Pm (6); DFT total energy = -3.619 eV/atom
1.0
5.413 0.000 0.000
0.000 3.297 -0.472
0.000 -0.977 5.007
Sb Cu Li
2 1 1
Cartesian
0.000 -0.405 4.596 Sb
2.706 0.801 1.168 Sb
0.000 0.949 2.268 Cu
2.706 1.158 3.779 Li

Record 2
Zn2RhSe | Alexandria | PBE-GGA | relaxed; ΔE_f (raw) = -0.066 eV per atom; space group = I-4m2 (119); DFT total energy = -3.412 eV/atom
1.0
-2.336 4.245 -1.185
-4.790 -0.659 -1.224
2.846 -1.455 3.829
Zn Rh Se
2 1 1
Cartesian
0.000 0.000 0.000 Zn
-2.754 -0.161 0.701 Zn
-3.563 1.793 -1.204 Rh
-1.527 2.291 0.720 Se

Record 3
ZrAl2OsRh | Alexandria | PBE-GGA | relaxed; formation energy from the elements = 8.51 eV per formula unit; space group = P4/mmm (123); DFT total energy = -5.220 eV/atom
1.0
5.011 0.000 0.000
0.000 4.686 0.000
0.000 0.000 5.011
Al Zr Rh Os
2 1 1 1
Cartesian
0.000 0.000 2.505 Al
2.505 0.000 0.000 Al
0.000 0.000 0.000 Zr
2.505 2.343 2.505 Rh
0.000 2.343 0.000 Os

Record 4
HfAlAg2 | Alexandria | PBE-GGA | relaxed; formation energy from the elements = 0.89 eV per formula unit; space group = R-3m (166); DFT total energy = -4.626 eV/atom
1.0
2.930 0.000 0.000
1.465 2.537 0.000
1.465 0.846 10.293
Al Ag Hf
1 2 1
Cartesian
2.930 1.691 5.146 Al
4.395 2.537 2.860 Ag
1.465 0.846 7.433 Ag
0.000 0.000 0.000 Hf

Record 5
Be2SiNi | Alexandria | PBE-GGA | relaxed; ΔE_f (raw) = -0.155 eV per atom; space group = P4mm (99); DFT total energy = -4.819 eV/atom
1.0
2.890 0.000 0.000
0.000 2.890 0.000
0.000 0.000 4.744
Be Ni Si
2 1 1
Cartesian
0.000 0.000 0.078 Be
1.445 1.445 1.127 Be
0.000 0.000 2.353 Ni
1.445 1.445 3.557 Si

Record 6
Li2PrNi9 | Alexandria | PBE-GGA | relaxed; formation energy from the elements = -1.55 eV per formula unit; space group = P4/mbm (127); DFT total energy = -5.182 eV/atom
1.0
4.768 0.000 0.000
0.000 8.131 0.000
0.000 0.000 8.131
Ni Li Pr
18 4 2
Cartesian
3.599 1.461 5.527 Ni
1.168 1.461 5.527 Ni
2.384 0.518 1.732 Ni
1.168 2.605 1.461 Ni
2.384 0.000 4.066 Ni
1.168 6.670 2.605 Ni
2.384 6.400 0.518 Ni
3.599 5.527 6.670 Ni
2.384 4.066 0.000 Ni
2.384 5.797 4.584 Ni
2.384 4.584 2.334 Ni
2.384 7.613 6.400 Ni
2.384 3.547 5.797 Ni
1.168 5.527 6.670 Ni
3.599 2.605 1.461 Ni
2.384 2.334 3.547 Ni
2.384 1.732 7.613 Ni
3.599 6.670 2.605 Ni
0.000 4.985 0.920 Li
0.000 7.212 4.985 Li
0.000 3.146 7.212 Li
0.000 0.920 3.146 Li
0.000 4.066 4.066 Pr
0.000 0.000 0.000 Pr